Below is an optimized crystal structure of Sr2TlOF, with properties calculated at the PBE-GGA level.

Summary:
E_form (uncorrected): -256 kJ/mol of formula units
Final energy: -0.224 Ry per atom
Calculated volume: 174 Å³/cell
DOS at the Fermi energy: 2.08 states/eV/cell
Magnetization: 0.000 μB/f.u.

Cell lengths 6.1083, 6.1083, 4.6644 Å; angles 90.00, 90.00, 90.00 degrees
With the nearest neighbours (Å) after each atom.
Space group P4/mmm (No. 123)
Inequivalent atoms, fractional coordinates:
Sr1 0.0000 0.5000 0.0000  2 Tl 3.05
Tl1 0.0000 0.0000 0.0000  2 F 2.33
O1 0.5000 0.5000 0.5000  8 Sr 3.84
F1 0.0000 0.0000 0.5000  2 Tl 2.33